# Zr2InMo

A relaxed Zr2InMo crystal (PBE-GGA, Alexandria via LeMat-Bulk).

```
Zr2InMo
1.0
3.300 0.000 0.000
-1.650 2.858 0.000
0.000 0.000 27.492
Zr In Mo
6 3 3
direct
0.000 0.000 0.240
0.000 0.000 0.760
0.333 0.667 0.427
0.333 0.667 0.907
0.667 0.333 0.093
0.667 0.333 0.573
0.000 0.000 0.000
0.333 0.667 0.667
0.667 0.333 0.333
0.000 0.000 0.500
0.333 0.667 0.167
0.667 0.333 0.833
```

Output
Uncorrected energy = -92.0 eV/cell
Magnetic moment = 0.00 μB per atom
SG = No. 166

# Cu2TeCl

A relaxed Cu2TeCl crystal (PBE-GGA, Alexandria via LeMat-Bulk).

```
Cu2TeCl
1.0
6.702 0.000 0.000
0.000 6.702 0.000
0.000 0.000 6.702
Cu Te Cl
8 4 4
direct
0.000 0.000 0.000
0.000 0.500 0.500
0.250 0.250 0.250
0.250 0.750 0.750
0.500 0.000 0.500
0.500 0.500 0.000
0.750 0.250 0.750
0.750 0.750 0.250
0.000 0.000 0.500
0.000 0.500 0.000
0.500 0.000 0.000
0.500 0.500 0.500
0.250 0.250 0.750
0.250 0.750 0.250
0.750 0.250 0.250
0.750 0.750 0.750
```

Output
Energy above the lowest structure with this stoichiometry = 736 meV/atom
Uncorrected energy = -44.6 eV/cell
Magnetic moment = 0.00 μB per atom
Formation energy from raw total energies = 0.510 eV/atom
SG = No. 216

# Tb4Y4Sc3

A relaxed Tb4Y4Sc3 crystal (PBE-GGA, Alexandria via LeMat-Bulk).

```
Tb4Y4Sc3
1.0
3.426 0.000 0.000
0.000 5.502 0.000
1.710 2.742 17.428
Tb Y Sc
4 4 3
direct
0.045 0.045 0.409
0.178 0.678 0.144
0.822 0.322 0.856
0.955 0.955 0.591
0.089 0.588 0.322
0.231 0.231 0.038
0.769 0.769 0.962
0.911 0.412 0.678
0.365 0.865 0.770
0.500 0.500 0.500
0.635 0.135 0.230
```

Output
Uncorrected energy = -62.3 eV/cell
Magnetic moment = 0.00 μB per atom
SG = No. 2

# Sr2TlBiS4

A relaxed Sr2TlBiS4 crystal (PBE-GGA, Alexandria via LeMat-Bulk).

```
Sr2TlBiS4
1.0
-4.282 4.304 6.020
4.282 -4.304 6.020
4.282 4.304 -6.020
Sr Tl Bi S
4 2 2 8
direct
0.000 0.000 0.000
0.500 0.000 0.000
0.500 0.000 0.500
0.500 0.500 0.500
0.000 0.000 0.500
0.000 0.500 0.000
0.000 0.500 0.500
0.500 0.500 0.000
0.256 0.740 0.516
0.257 0.269 0.512
0.257 0.745 0.988
0.276 0.260 0.016
0.724 0.740 0.984
0.743 0.255 0.012
0.743 0.731 0.488
0.744 0.260 0.484
```

Output
Uncorrected energy = -71.1 eV/cell
Magnetic moment = 0.00 μB per atom
Formation energy from raw total energies = -1.177 eV/atom
SG = No. 74

# Cr2TcPt

A relaxed Cr2TcPt crystal (PBE-GGA, Alexandria via LeMat-Bulk).

```
Cr2TcPt
1.0
5.396 0.000 0.000
0.000 7.493 0.000
0.000 0.000 2.660
Cr Tc Pt
4 2 2
direct
0.250 0.250 0.000
0.250 0.750 0.000
0.750 0.250 0.000
0.750 0.750 0.000
0.000 0.000 0.500
0.500 0.500 0.500
0.000 0.500 0.500
0.500 0.000 0.500
```

Output
Uncorrected energy = -71.3 eV/cell
Magnetic moment = 0.00 μB per atom
SG = No. 65

# Ac2Cd3Pb2

A relaxed Ac2Cd3Pb2 crystal (PBE-GGA, Alexandria via LeMat-Bulk).

```
Ac2Cd3Pb2
1.0
4.512 0.000 0.000
0.000 22.645 0.000
0.000 0.000 4.645
Ac Cd Pb
4 6 4
direct
0.000 0.158 0.000
0.000 0.842 0.000
0.500 0.342 0.000
0.500 0.658 0.000
0.000 0.000 0.000
0.000 0.437 0.500
0.000 0.563 0.500
0.500 0.063 0.500
0.500 0.500 0.000
0.500 0.937 0.500
0.000 0.297 0.500
0.000 0.703 0.500
0.500 0.203 0.500
0.500 0.797 0.500
```

Output
Energy above the lowest structure with this stoichiometry = 165 meV/atom
Uncorrected energy = -39.5 eV/cell
Magnetic moment = 0.00 μB per atom
SG = No. 65

# Sm5Tm2Sb5

A relaxed Sm5Tm2Sb5 crystal (PBE-GGA, Alexandria via LeMat-Bulk).

```
Sm5Tm2Sb5
1.0
7.241 -2.204 0.000
7.241 2.204 0.000
-4.496 0.000 11.859
Sm Tm Sb
5 2 5
direct
0.000 0.000 0.000
0.161 0.161 0.537
0.225 0.225 0.846
0.775 0.775 0.154
0.839 0.839 0.463
0.452 0.452 0.709
0.548 0.548 0.291
0.190 0.190 0.287
0.385 0.385 0.076
0.500 0.500 0.500
0.615 0.615 0.924
0.810 0.810 0.713
```

Output
Uncorrected energy = -63.7 eV/cell
Magnetic moment = 0.00 μB per atom
Formation energy from raw total energies = -0.881 eV/atom
SG = No. 12

# CaZn3Se

A relaxed CaZn3Se crystal (PBE-GGA, Alexandria via LeMat-Bulk).

```
CaZn3Se
1.0
5.582 0.000 0.000
0.000 5.582 0.000
0.000 0.000 5.582
Ca Zn Se
1 3 1
direct
0.000 0.000 0.000
0.000 0.000 0.500
0.000 0.500 0.000
0.500 0.000 0.000
0.500 0.500 0.500
```

Output
Energy above the lowest structure with this stoichiometry = 529 meV/atom
Uncorrected energy = -5.7 eV/cell
Magnetic moment = 0.00 μB per atom
Formation energy from raw total energies = 0.724 eV/atom
SG = No. 221

# Ti8NbIr2

A relaxed Ti8NbIr2 crystal (PBE-GGA, Alexandria via LeMat-Bulk).

```
Ti8NbIr2
1.0
3.555 -6.201 0.000
3.555 6.201 0.000
-1.861 0.000 4.336
Ti Nb Ir
8 1 2
direct
0.097 0.324 0.611
0.217 0.783 0.000
0.324 0.097 0.611
0.388 0.388 0.194
0.612 0.612 0.806
0.676 0.903 0.389
0.783 0.217 0.000
0.903 0.676 0.389
0.000 0.000 0.000
0.300 0.700 0.500
0.700 0.300 0.500
```

Output
Uncorrected energy = -92.8 eV/cell
Magnetic moment = 0.00 μB per atom
SG = No. 12

# RbMgSbF6

A relaxed RbMgSbF6 crystal (PBE-GGA, Alexandria via LeMat-Bulk).

```
RbMgSbF6
1.0
-3.797 4.070 5.391
3.797 -4.070 5.391
3.797 4.070 -5.391
Rb Mg Sb F
2 2 2 12
direct
0.306 0.056 0.250
0.694 0.944 0.750
0.000 0.000 0.500
0.000 0.500 0.000
0.000 0.500 0.500
0.500 0.500 0.000
0.034 0.784 0.250
0.042 0.393 0.202
0.042 0.840 0.650
0.310 0.160 0.702
0.310 0.607 0.150
0.343 0.593 0.750
0.657 0.407 0.250
0.690 0.393 0.850
0.690 0.840 0.298
0.958 0.160 0.350
0.958 0.607 0.798
0.966 0.216 0.750
```

Output
Uncorrected energy = -86.8 eV/cell
Magnetic moment = 0.00 μB per atom
Formation energy from raw total energies = -2.832 eV/atom
SG = No. 74

# Sc2As

A relaxed Sc2As crystal (PBE-GGA, Alexandria via LeMat-Bulk).

```
Sc2As
1.0
6.491 0.000 0.000
0.000 6.491 0.000
0.000 0.000 6.491
Sc As
8 4
direct
0.152 0.152 0.152
0.152 0.348 0.652
0.348 0.652 0.152
0.348 0.848 0.652
0.652 0.152 0.348
0.652 0.348 0.848
0.848 0.652 0.348
0.848 0.848 0.848
0.000 0.000 0.500
0.000 0.500 0.000
0.500 0.000 0.000
0.500 0.500 0.500
```

Output
Uncorrected energy = -77.9 eV/cell
Magnetic moment = 0.00 μB per atom
SG = No. 205

# CsNpInCl6

A relaxed CsNpInCl6 crystal (PBE-GGA, Alexandria via LeMat-Bulk).

```
CsNpInCl6
1.0
7.824 0.000 0.000
-3.912 6.776 0.000
0.000 0.000 7.036
Cs Np In Cl
1 1 1 6
direct
0.000 0.000 0.000
0.667 0.333 0.500
0.333 0.667 0.500
0.398 0.050 0.712
0.398 0.348 0.288
0.652 0.050 0.288
0.652 0.602 0.712
0.950 0.348 0.712
0.950 0.602 0.288
```

Output
Uncorrected energy = -42.0 eV/cell
Magnetic moment = 0.33 μB per atom
Formation energy from raw total energies = -1.603 eV/atom
SG = No. 149